Computed, not measured: an optimized crystal structure of Pr2BiSe at the PBE level of DFT.

```
Pr2BiSe
1.0
4.463 0.000 0.000
0.000 4.463 0.000
0.000 0.000 6.311
Pr Bi Se
2 1 1
Direct
0.000 0.000 0.000
0.500 0.500 0.500
0.000 0.000 0.500
0.500 0.500 0.000
```

Results
The total DFT energy (no corrections) comes out at -5.6331 eV/atom. As for the volume: 31.4 Å³ per atom. The crystal system is tetragonal. As for the symmetry: P4/mmm, No. 123. Its magnetization is 0.0 μB per formula unit.


Computed, not measured: an optimized crystal structure of Pr3BiSe2 at the PBE level of DFT.

```
Pr3BiSe2
1.0
4.384 0.000 0.000
-2.192 3.797 0.000
0.000 0.000 10.742
Pr Bi Se
3 1 2
Direct
0.000 0.000 0.000
0.333 0.667 0.313
0.667 0.333 0.687
0.000 0.000 0.500
0.333 0.667 0.842
0.667 0.333 0.158
```

Results
The total DFT energy (no corrections) comes out at -5.7648 eV/atom. As for the volume: 29.8 Å³ per atom. The crystal system is trigonal. As for the symmetry: P-3m1, No. 164. Its magnetization is 0.0 μB per formula unit.


Computed, not measured: an optimized crystal structure of TbPrBi2Se2 at the PBE level of DFT.

```
TbPrBi2Se2
1.0
4.315 0.000 0.000
0.000 4.315 0.000
0.000 0.000 9.121
Tb Pr Bi Se
1 1 2 2
Direct
0.000 0.000 0.000
0.500 0.500 0.390
0.000 0.500 0.699
0.500 0.000 0.699
0.000 0.000 0.317
0.500 0.500 0.062
```

Results
The total DFT energy (no corrections) comes out at -5.3222 eV/atom. As for the volume: 28.3 Å³ per atom. The crystal system is tetragonal. As for the symmetry: P4mm, No. 99. Its magnetization is 0.0 μB per formula unit.


Computed, not measured: an optimized crystal structure of Pr2Bi2TeSe at the PBE level of DFT.

```
Pr2Bi2TeSe
1.0
4.425 0.000 0.000
0.000 4.425 0.000
0.000 0.000 9.530
Pr Bi Te Se
2 2 1 1
Direct
0.000 0.000 0.000
0.500 0.500 0.414
0.000 0.500 0.707
0.500 0.000 0.707
0.500 0.500 0.081
0.000 0.000 0.336
```

Results
The total DFT energy (no corrections) comes out at -5.2273 eV/atom. As for the volume: 31.1 Å³ per atom. The crystal system is tetragonal. As for the symmetry: P4mm, No. 99. Its magnetization is 0.0 μB per formula unit.


Computed, not measured: an optimized crystal structure of PrSiBi at the PBE level of DFT.

```
PrSiBi
1.0
0.000 3.557 3.557
3.557 0.000 3.557
3.557 3.557 0.000
Pr Si Bi
1 1 1
Direct
0.000 0.000 0.000
0.750 0.750 0.750
0.500 0.500 0.500
```

Results
The total DFT energy (no corrections) comes out at -4.9394 eV/atom. As for the volume: 30.0 Å³ per atom. The crystal system is cubic. As for the symmetry: F-43m, No. 216. Its magnetization is 0.0 μB per formula unit.


Computed, not measured: an optimized crystal structure of Pr5Si2Bi at the PBE level of DFT.

```
Pr5Si2Bi
1.0
-4.006 4.006 7.346
4.006 -4.006 7.346
4.006 4.006 -7.346
Pr Si Bi
10 4 2
Direct
0.000 0.000 0.000
0.033 0.533 0.840
0.193 0.033 0.500
0.307 0.807 0.840
0.467 0.307 0.500
0.500 0.500 0.000
0.533 0.693 0.500
0.693 0.193 0.160
0.807 0.967 0.500
0.967 0.467 0.160
0.121 0.379 0.500
0.379 0.879 0.257
0.621 0.121 0.743
0.879 0.621 0.500
0.250 0.250 0.000
0.750 0.750 0.000
```

Results
The total DFT energy (no corrections) comes out at -5.5004 eV/atom. As for the volume: 29.5 Å³ per atom. The crystal system is tetragonal. As for the symmetry: I4/mcm, No. 140. Its magnetization is 2.0 μB per formula unit.


Computed, not measured: an optimized crystal structure of Pr3Sm2Bi3 at the PBE level of DFT.

```
Pr3Sm2Bi3
1.0
9.481 0.000 0.000
-4.741 8.211 0.000
0.000 0.000 6.586
Pr Sm Bi
6 4 6
Direct
0.000 0.247 0.250
0.000 0.753 0.750
0.247 0.000 0.250
0.247 0.247 0.750
0.753 0.000 0.750
0.753 0.753 0.250
0.333 0.667 0.000
0.333 0.667 0.500
0.667 0.333 0.000
0.667 0.333 0.500
0.000 0.391 0.750
0.000 0.609 0.250
0.391 0.000 0.750
0.391 0.391 0.250
0.609 0.000 0.250
0.609 0.609 0.750
```

Results
The total DFT energy (no corrections) comes out at -5.2774 eV/atom. As for the volume: 32.0 Å³ per atom. The crystal system is hexagonal. As for the symmetry: P6_3/mcm, No. 193. Its magnetization is 0.1 μB per formula unit.


Computed, not measured: an optimized crystal structure of PrSmBi at the PBE level of DFT.

```
PrSmBi
1.0
0.000 3.761 3.761
3.761 0.000 3.761
3.761 3.761 0.000
Pr Sm Bi
1 1 1
Direct
0.000 0.000 0.000
0.500 0.500 0.500
0.250 0.250 0.250
```

Results
The total DFT energy (no corrections) comes out at -4.9522 eV/atom. As for the volume: 35.5 Å³ per atom. The crystal system is cubic. As for the symmetry: F-43m, No. 216. Its magnetization is 0.0 μB per formula unit.


Computed, not measured: an optimized crystal structure of PrSmBi2Te2 at the PBE level of DFT.

```
PrSmBi2Te2
1.0
4.459 0.000 0.000
0.000 4.459 0.000
0.000 0.000 9.561
Pr Sm Bi Te
1 1 2 2
Direct
0.000 0.000 0.000
0.500 0.500 0.432
0.000 0.500 0.714
0.500 0.000 0.714
0.000 0.000 0.346
0.500 0.500 0.094
```

Results
The total DFT energy (no corrections) comes out at -5.0654 eV/atom. As for the volume: 31.7 Å³ per atom. The crystal system is tetragonal. As for the symmetry: P4mm, No. 99. Its magnetization is 0.0 μB per formula unit.


Computed, not measured: an optimized crystal structure of Pr5Sn2Bi2 at the PBE level of DFT.

```
Pr5Sn2Bi2
1.0
8.107 -4.255 0.000
8.107 4.255 0.000
0.000 0.000 8.552
Pr Sn Bi
10 4 4
Direct
0.000 0.000 0.000
0.037 0.696 0.668
0.196 0.537 0.168
0.304 0.963 0.668
0.463 0.804 0.168
0.500 0.500 0.500
0.537 0.196 0.832
0.696 0.037 0.332
0.804 0.463 0.832
0.963 0.304 0.332
0.130 0.870 0.370
0.370 0.630 0.870
0.630 0.370 0.130
0.870 0.130 0.630
0.205 0.205 0.000
0.295 0.295 0.500
0.705 0.705 0.500
0.795 0.795 0.000
```

Results
The total DFT energy (no corrections) comes out at -5.2989 eV/atom. As for the volume: 32.8 Å³ per atom. The crystal system is orthorhombic. As for the symmetry: Cmce, No. 64. Its magnetization is 0.0 μB per formula unit.


Computed, not measured: an optimized crystal structure of TbPrBi at the PBE level of DFT.

```
TbPrBi
1.0
0.000 3.731 3.731
3.731 0.000 3.731
3.731 3.731 0.000
Tb Pr Bi
1 1 1
Direct
0.000 0.000 0.000
0.500 0.500 0.500
0.750 0.750 0.750
```

Results
The total DFT energy (no corrections) comes out at -4.8757 eV/atom. As for the volume: 34.6 Å³ per atom. The crystal system is cubic. As for the symmetry: F-43m, No. 216. Its magnetization is 0.0 μB per formula unit.


Computed, not measured: an optimized crystal structure of TbPrBi2Te2 at the PBE level of DFT.

```
TbPrBi2Te2
1.0
4.437 0.000 0.000
0.000 4.437 0.000
0.000 0.000 9.512
Tb Pr Bi Te
1 1 2 2
Direct
0.000 0.000 0.000
0.500 0.500 0.432
0.000 0.500 0.719
0.500 0.000 0.719
0.000 0.000 0.335
0.500 0.500 0.084
```

Results
The total DFT energy (no corrections) comes out at -5.0219 eV/atom. As for the volume: 31.2 Å³ per atom. The crystal system is tetragonal. As for the symmetry: P4mm, No. 99. Its magnetization is 0.0 μB per formula unit.


Computed, not measured: an optimized crystal structure of Pr3Bi2Te at the PBE level of DFT.

```
Pr3Bi2Te
1.0
3.980 -6.904 0.000
3.980 6.904 0.000
-2.663 0.000 7.509
Pr Bi Te
6 4 2
Direct
0.000 0.500 0.500
0.165 0.333 0.001
0.333 0.165 0.501
0.500 0.000 0.000
0.667 0.835 0.499
0.835 0.667 0.999
0.083 0.917 0.750
0.250 0.750 0.250
0.750 0.250 0.750
0.917 0.083 0.250
0.416 0.584 0.750
0.584 0.416 0.250
```

Results
The total DFT energy (no corrections) comes out at -5.4186 eV/atom. As for the volume: 34.4 Å³ per atom. The crystal system is monoclinic. As for the symmetry: C2/c, No. 15. Its magnetization is 0.0 μB per formula unit.


Computed, not measured: an optimized crystal structure of Pr3Bi2Te at the PBE level of DFT.

```
Pr3Bi2Te
1.0
4.596 0.000 0.000
-2.298 3.981 0.000
0.000 0.000 11.255
Pr Bi Te
3 2 1
Direct
0.000 0.000 0.000
0.333 0.667 0.333
0.667 0.333 0.667
0.333 0.667 0.832
0.667 0.333 0.168
0.000 0.000 0.500
```

Results
The total DFT energy (no corrections) comes out at -5.4112 eV/atom. As for the volume: 34.3 Å³ per atom. The crystal system is trigonal. As for the symmetry: P-3m1, No. 164. Its magnetization is 0.0 μB per formula unit.


Computed, not measured: an optimized crystal structure of PrBiTe at the PBE level of DFT.

```
PrBiTe
1.0
0.000 3.757 3.757
3.757 0.000 3.757
3.757 3.757 0.000
Pr Bi Te
1 1 1
Direct
0.000 0.000 0.000
0.500 0.500 0.500
0.750 0.750 0.750
```

Results
The total DFT energy (no corrections) comes out at -4.4660 eV/atom. As for the volume: 35.4 Å³ per atom. The crystal system is cubic. As for the symmetry: F-43m, No. 216. Its magnetization is 0.0 μB per formula unit.


Computed, not measured: an optimized crystal structure of PrTlBiTe3 at the PBE level of DFT.

```
PrTlBiTe3
1.0
2.283 -7.805 0.000
2.283 7.805 0.000
0.000 0.000 11.961
Pr Tl Bi Te
2 2 2 6
Direct
0.000 0.000 0.000
0.000 0.000 0.500
0.232 0.768 0.750
0.768 0.232 0.250
0.458 0.542 0.250
0.542 0.458 0.750
0.102 0.898 0.250
0.356 0.644 0.033
0.356 0.644 0.467
0.644 0.356 0.533
0.644 0.356 0.967
0.898 0.102 0.750
```

Results
The total DFT energy (no corrections) comes out at -4.0175 eV/atom. As for the volume: 35.5 Å³ per atom. The crystal system is orthorhombic. As for the symmetry: Cmcm, No. 63. Its magnetization is 0.0 μB per formula unit.


Computed, not measured: an optimized crystal structure of PrTmBi at the PBE level of DFT.

```
PrTmBi
1.0
4.605 0.000 0.000
0.000 4.605 0.000
0.000 0.000 8.831
Pr Tm Bi
2 2 2
Direct
0.250 0.250 0.151
0.750 0.750 0.849
0.250 0.750 0.500
0.750 0.250 0.500
0.250 0.250 0.771
0.750 0.750 0.229
```

Results
The total DFT energy (no corrections) comes out at -5.0874 eV/atom. As for the volume: 31.2 Å³ per atom. The crystal system is tetragonal. As for the symmetry: P4/nmm, No. 129. Its magnetization is 0.0 μB per formula unit.


Computed, not measured: an optimized crystal structure of PrTmBi at the PBE level of DFT.

```
PrTmBi
1.0
0.000 3.705 3.705
3.705 0.000 3.705
3.705 3.705 0.000
Pr Tm Bi
1 1 1
Direct
0.000 0.000 0.000
0.500 0.500 0.500
0.250 0.250 0.250
```

Results
The total DFT energy (no corrections) comes out at -4.7420 eV/atom. As for the volume: 33.9 Å³ per atom. The crystal system is cubic. As for the symmetry: F-43m, No. 216. Its magnetization is 0.0 μB per formula unit.


Computed, not measured: an optimized crystal structure of PrTm2Bi3 at the PBE level of DFT.

```
PrTm2Bi3
1.0
4.481 0.000 0.000
-2.240 3.880 0.000
0.000 0.000 11.000
Pr Tm Bi
1 2 3
Direct
0.000 0.000 0.000
0.333 0.667 0.338
0.667 0.333 0.662
0.000 0.000 0.500
0.333 0.667 0.822
0.667 0.333 0.178
```

Results
The total DFT energy (no corrections) comes out at -5.1636 eV/atom. As for the volume: 31.9 Å³ per atom. The crystal system is trigonal. As for the symmetry: P-3m1, No. 164. Its magnetization is 0.0 μB per formula unit.


Computed, not measured: an optimized crystal structure of Pr2TmBi3 at the PBE level of DFT.

```
Pr2TmBi3
1.0
4.541 0.000 0.000
-2.271 3.933 0.000
0.000 0.000 11.146
Pr Tm Bi
2 1 3
Direct
0.333 0.667 0.328
0.667 0.333 0.672
0.000 0.000 0.000
0.000 0.000 0.500
0.333 0.667 0.845
0.667 0.333 0.155
```

Results
The total DFT energy (no corrections) comes out at -5.2719 eV/atom. As for the volume: 33.2 Å³ per atom. The crystal system is trigonal. As for the symmetry: P-3m1, No. 164. Its magnetization is 0.0 μB per formula unit.